No. 1
Density functional theory data (GGA-PBE) for a relaxed structure of Zr4CoBi.

Values from the calculation:
- Total magnetization: 0.00 μB per cell
- Formation enthalpy at 0 K: 0.0888 eV per atom
- Polymorph energy (0 for the lowest one): 350 meV/atom

a b c (Å): 3.2952 6.0156 7.1896
angles (deg): 96.70 90.00 90.00
Last column: nearest neighbours and their distance in Å.
Fractional positions:
Zr 0.0000 0.6793 0.7289  1 Co 2.58
Zr 0.5000 0.7336 0.1248  2 Co 2.53
Zr 0.5000 0.2664 0.8752  2 Co 2.53
Bi 0.5000 0.0000 0.5000  6 Zr 2.97-3.14, 2 Bi 3.30
Zr 0.0000 0.3207 0.2711  1 Co 2.58
Co 0.0000 0.0000 0.0000  6 Zr 2.53-2.58



No. 2
Density functional theory data (GGA-PBE) for a relaxed structure of ZrCoBi2.

Values from the calculation:
- Total magnetization: 0.85 μB per cell
- Formation enthalpy at 0 K: 0.3082 eV per atom
- Polymorph energy (0 for the lowest one): 45 meV/atom

a b c (Å): 5.0147 5.0147 5.0147
angles (deg): 60.00 60.00 60.00
Last column: nearest neighbours and their distance in Å.
Fractional positions:
Bi 0.2500 0.2500 0.2500  4 Zr 3.07, 4 Co 3.07
Zr 0.5000 0.5000 0.5000  8 Bi 3.07
Bi 0.7500 0.7500 0.7500  4 Zr 3.07, 4 Co 3.07
Co 0.0000 0.0000 0.0000  8 Bi 3.07



No. 3
Density functional theory data (GGA-PBE) for a relaxed structure of Zr3CoBi.

Values from the calculation:
- Total magnetization: 0.00 μB per cell
- Formation enthalpy at 0 K: -0.3335 eV per atom
- Polymorph energy (0 for the lowest one): 0 meV/atom

a b c (Å): 3.9938 7.6435 7.8576
angles (deg): 116.14 90.00 90.00
Last column: nearest neighbours and their distance in Å.
Fractional positions:
Zr 0.1955 0.3961 0.6921  3 Co 2.63-2.73
Zr 0.1955 0.0318 0.1853  1 Co 2.44
Zr 0.6955 0.0254 0.8619  3 Co 2.63-2.73
Zr 0.1955 0.7423 0.4919  3 Co 2.76-2.87, 2 Bi 3.07
Co 0.1955 0.7794 0.8579  2 Co 2.35, 2 Zr 2.44-2.63
Bi 0.1955 0.3809 0.0767  9 Zr 3.02-3.21
Bi 0.6955 0.0407 0.4773  9 Zr 3.02-3.21
Zr 0.6955 0.3897 0.3688  1 Co 2.44
Zr 0.6955 0.6792 0.0622  3 Co 2.76-2.87, 2 Bi 3.07
Co 0.6955 0.6422 0.6962  2 Co 2.35, 2 Zr 2.44-2.63



No. 4
Density functional theory data (GGA-PBE) for a relaxed structure of Zr3CoBi.

Values from the calculation:
- Total magnetization: 0.00 μB per cell
- Formation enthalpy at 0 K: -0.1401 eV per atom
- Polymorph energy (0 for the lowest one): 193 meV/atom

a b c (Å): 4.7589 6.9923 7.5558
angles (deg): 117.56 90.00 90.00
Last column: nearest neighbours and their distance in Å.
Fractional positions:
Zr 0.0000 0.1207 0.2415  2 Co 2.39
Co 0.5000 0.1009 0.2017  6 Zr 2.39-2.65
Zr 0.5000 0.2953 0.0000  2 Co 2.47
Zr 0.0000 0.8793 0.7585  2 Co 2.39
Co 0.5000 0.8991 0.7983  6 Zr 2.39-2.65
Zr 0.5000 0.0000 0.5000  2 Co 2.65
Zr 0.5000 0.7047 0.0000  2 Co 2.47
Zr 0.5000 0.5000 0.5000  2 Co 2.65
Bi 0.0000 0.3586 0.7173  11 Zr 3.19-3.51
Bi 0.0000 0.6414 0.2827  11 Zr 3.19-3.51



No. 5
Density functional theory data (GGA-PBE) for a relaxed structure of Zr3CoBi2.

Values from the calculation:
- Total magnetization: 0.00 μB per cell
- Formation enthalpy at 0 K: -0.2726 eV per atom

a b c (Å): 4.0365 10.9964 12.0237
angles (deg): 90.00 90.00 90.00
Last column: nearest neighbours and their distance in Å.
Fractional positions:
Zr 0.2500 0.4708 0.3884  3 Co 2.71-2.75
Bi 0.2500 0.0489 0.3016  1 Co 2.65
Co 0.2500 0.1349 0.0959  3 Bi 2.65, 5 Zr 2.71-2.87
Co 0.2500 0.3651 0.5959  3 Bi 2.65, 5 Zr 2.71-2.87
Zr 0.2500 0.4066 0.0725  5 Bi 2.97-3.29, 1 Co 3.00, 2 Zr 3.20
Bi 0.7500 0.5489 0.1984  1 Co 2.65
Co 0.7500 0.6349 0.4041  3 Bi 2.65, 5 Zr 2.71-2.87
Bi 0.2500 0.4511 0.8016  1 Co 2.65
Zr 0.7500 0.2548 0.2255  2 Co 2.87, 4 Bi 3.02-3.17, 2 Zr 3.20
Bi 0.7500 0.2206 0.9758  2 Co 2.65
Co 0.7500 0.8651 0.9041  3 Bi 2.65, 5 Zr 2.71-2.87
Zr 0.7500 0.5934 0.9275  5 Bi 2.97-3.29, 1 Co 3.00, 2 Zr 3.20
Bi 0.7500 0.2794 0.4758  2 Co 2.65
Zr 0.2500 0.7452 0.7745  2 Co 2.87, 4 Bi 3.02-3.17, 2 Zr 3.20
Zr 0.7500 0.5292 0.6116  3 Co 2.71-2.75
Bi 0.2500 0.7206 0.5242  2 Co 2.65
Zr 0.2500 0.0292 0.8884  3 Co 2.71-2.75
Zr 0.2500 0.7548 0.2745  2 Co 2.87, 4 Bi 3.02-3.17, 2 Zr 3.20
Zr 0.7500 0.9066 0.4275  5 Bi 2.97-3.29, 1 Co 3.00, 2 Zr 3.20
Zr 0.7500 0.9708 0.1116  3 Co 2.71-2.75
Zr 0.7500 0.2452 0.7255  2 Co 2.87, 4 Bi 3.02-3.17, 2 Zr 3.20
Bi 0.7500 0.9511 0.6984  1 Co 2.65
Bi 0.2500 0.7794 0.0242  2 Co 2.65
Zr 0.2500 0.0934 0.5725  5 Bi 2.97-3.29, 1 Co 3.00, 2 Zr 3.20



No. 6
Density functional theory data (GGA-PBE) for a relaxed structure of Zr4CoBi.

Values from the calculation:
- Total magnetization: 0.00 μB per cell
- Formation enthalpy at 0 K: -0.2613 eV per atom
- Polymorph energy (0 for the lowest one): 0 meV/atom

a b c (Å): 5.6411 6.1852 8.9405
angles (deg): 90.00 120.81 90.00
Last column: nearest neighbours and their distance in Å.
Fractional positions:
Zr 0.6929 0.2500 0.8377  1 Co 2.58
Zr 0.0867 0.9949 0.7127  2 Co 2.53-2.58
Zr 0.9133 0.4949 0.2873  2 Co 2.53-2.58
Co 0.7765 0.7500 0.4507  6 Zr 2.47-2.58
Bi 0.3371 0.2500 0.0626  8 Zr 3.02-3.25
Zr 0.3071 0.7500 0.1623  1 Co 2.58
Co 0.2235 0.2500 0.5493  6 Zr 2.47-2.58
Bi 0.6629 0.7500 0.9374  8 Zr 3.02-3.25
Zr 0.0867 0.5051 0.7127  2 Co 2.53-2.58
Zr 0.4413 0.7500 0.5505  1 Co 2.47
Zr 0.9133 0.0051 0.2873  2 Co 2.53-2.58
Zr 0.5587 0.2500 0.4495  1 Co 2.47



What are the V values for these records? In order: 141.5; 89.2; 107.7; 111.4; 133.4; 134.0 Å³/f.u..